Record 1
VASP calculation (GGA-PBE) on an optimized crystal structure of Ti2AsH2.

Unit cell a=5.313 b=5.313 c=5.190 alpha=111.13 beta=111.13 gamma=107.21
Positions (direct):
Ti1 0.825 0.675 0.250
Ti2 0.575 0.925 0.750
Ti3 0.425 0.075 0.250
Ti4 0.175 0.325 0.750
H1 0.251 0.001 0.501
H2 0.749 0.999 0.499
H3 0.499 0.249 0.999
H4 0.501 0.751 0.001
As1 0.875 0.625 0.750
As2 0.125 0.375 0.250

Raw total energy = -59.2 eV for the cell shown
Symmetry = Fddd



Record 2
VASP calculation (GGA-PBE) on an optimized crystal structure of Ti2AsH.

Unit cell a=3.420 b=5.283 c=11.369 alpha=90.00 beta=90.00 gamma=90.00
Positions (direct):
H1 0.750 0.250 0.867
H2 0.250 0.750 0.133
H3 0.750 0.750 0.633
H4 0.250 0.250 0.367
As1 0.250 0.251 0.619
As2 0.750 0.749 0.381
As3 0.750 0.249 0.119
As4 0.250 0.751 0.881
Ti1 0.250 0.000 0.250
Ti2 0.250 0.251 0.950
Ti3 0.750 0.000 0.750
Ti4 0.750 0.500 0.750
Ti5 0.750 0.749 0.050
Ti6 0.750 0.249 0.450
Ti7 0.250 0.751 0.550
Ti8 0.250 0.500 0.250

Raw total energy = -107.3 eV for the cell shown
Symmetry = Pnma



Record 3
VASP calculation (GGA-PBE) on an optimized crystal structure of TiAsH.

Unit cell a=3.469 b=3.422 c=3.422 alpha=120.00 beta=90.00 gamma=90.00
Positions (direct):
Ti1 0.167 0.667 0.333
H1 0.167 0.000 0.000
As1 0.667 0.333 0.667

Raw total energy = -18.0 eV for the cell shown
Symmetry = P-6m2



- Number 3 is which compound?
  TiAsH